U3Ge5Pt6 | GGA-PBE | relaxed

**Energy of formation**: -746 kJ/mol of formula units
**Space-group type**: No. 59
**Crystal system**: orthorhombic
**D(E_F)**: 1.5274 states/eV per atom
**M_tot**: 6.99 μB/f.u.

a = 4.109 Å, b = 10.642 Å, c = 12.039 Å
α = 90.00°, β = 90.00°, γ = 90.00°
Each line ends with the local moment (μB).
Atoms (fractional coordinates):
Ge  0.500  0.487  0.369  -0.02
Ge  0.500  0.487  0.631  -0.02
Ge  0.000  0.862  0.337  0.01
Ge  0.000  0.862  0.663  0.01
Ge  0.500  0.165  0.500  0.02
Ge  0.000  0.513  0.131  -0.02
Ge  0.000  0.835  0.000  0.02
Ge  0.500  0.138  0.837  0.01
Ge  0.000  0.513  0.869  -0.02
Ge  0.500  0.138  0.163  0.01
Pt  0.500  0.365  0.814  -0.05
Pt  0.000  0.000  0.836  0.07
Pt  0.000  0.635  0.314  -0.05
Pt  0.000  0.000  0.164  0.07
Pt  0.500  0.000  0.336  0.07
Pt  0.000  0.014  0.500  0.10
Pt  0.500  0.365  0.186  -0.05
Pt  0.500  0.000  0.664  0.07
Pt  0.000  0.465  0.500  -0.03
Pt  0.000  0.635  0.686  -0.05
Pt  0.500  0.535  0.000  -0.03
Pt  0.500  0.986  0.000  0.10
U  0.500  0.742  0.834  2.03
U  0.000  0.256  0.000  2.27
U  0.000  0.258  0.334  2.03
U  0.500  0.742  0.166  2.03
U  0.000  0.258  0.666  2.03
U  0.500  0.744  0.500  2.27


U2GePt | GGA-PBE | relaxed

**Energy of formation**: -149 kJ/mol of formula units
**Space-group type**: No. 123
**Crystal system**: tetragonal
**D(E_F)**: 1.8028 states/eV per atom
**M_tot**: 0.55 μB/f.u.

a = 3.767 Å, b = 3.767 Å, c = 5.736 Å
α = 90.00°, β = 90.00°, γ = 90.00°
Each line ends with the local moment (μB).
Atoms (fractional coordinates):
U  0.000  0.000  0.787  0.26
U  0.000  0.000  0.213  0.26
Pt  0.500  0.500  0.500  -0.01
Ge  0.500  0.500  0.000  -0.01